A plane-wave DFT calculation with GGA-PBE was carried out for Pm3Pr3Tl2 after structural relaxation.

## Properties
Energy relative to the elements ... -0.20 eV per atom
V ... 31.20 A^3/atom
Mass density ... 8.43 Mg/m³
Distance to the lowest polymorph of the same formula ... 0 kJ/mol of formula units
Total DFT energy (no corrections) ... -35.0 eV per formula unit
Total magnetic moment ... 0.0 μB per formula unit

Structure (POSCAR):
```
Pm3Pr3Tl2
1.0
4.9724 0.0000 0.0000
0.0000 4.9968 0.0000
0.0000 0.0000 10.0461
Pm Pr Tl
3 3 2
direct
0.5000 0.5000 0.7508
0.5000 0.5000 0.2492
0.5000 0.0000 0.0000
0.5000 0.0000 0.5000
0.0000 0.5000 0.0000
0.0000 0.5000 0.5000
0.0000 0.0000 0.7520
0.0000 0.0000 0.2480
```